Below is crystalline BeInBPd at its relaxed geometry, with properties calculated at the PBE-GGA level.

Summary:
For the density, the calculation gives 7.741 Mg/m³. For the polymorph energy (0 for the lowest one), the calculation gives 0.00 eV/f.u.

Unit cell a=5.9139 b=5.9139 c=5.9139 alpha=90.00 beta=90.00 gamma=90.00
Space group F-43m (No. 216)
Symmetry-distinct sites (fractional):
Be: 0.0000 0.0000 0.0000 x4
In: 0.2500 0.2500 0.7500 x4
B: 0.0000 0.0000 0.5000 x4
Pd: 0.2500 0.2500 0.2500 x4